# CaZr2H, relaxed, DFT PBE-GGA
data_CaZr2H
_cell_length_a 3.3177
_cell_length_b 3.3177
_cell_length_c 26.0451
_cell_angle_alpha 90.00
_cell_angle_beta 90.00
_cell_angle_gamma 120.00
_space_group_name_H-M_alt 'R -3 m'
_space_group_IT_number 166
_space_group_name_Hall '-R 3 2"'
loop_
_atom_site_label
_atom_site_type_symbol
_atom_site_fract_x
_atom_site_fract_y
_atom_site_fract_z
_atom_site_occupancy
Ca1 Ca 0.0000 0.0000 0.0000 1
Zr1 Zr 0.0000 0.0000 0.1189 1
H1 H 0.0000 0.0000 0.5000 1
# Total energy: -21.9 eV per formula unit
# Magnetic moment: 0.087 μB/f.u.
# Mass density: 4.5 g/cm3